No. 1
This record from Alexandria via LeMat-Bulk describes an optimized crystal structure of BaTl4Ag4. The functional is PBE.

Geometry as CIF:
```
data_BaTl4Ag4
_chemical_formula_sum 'Ba2 Tl8 Ag8'
_cell_length_a 9.6477
_cell_length_b 9.6477
_cell_length_c 5.3230
_cell_angle_alpha 90.00
_cell_angle_beta 90.00
_cell_angle_gamma 90.00
_space_group_name_H-M_alt 'I 4/m'
_space_group_IT_number 87
_space_group_name_Hall '-I 4'
loop_
_atom_site_label
_atom_site_fract_x
_atom_site_fract_y
_atom_site_fract_z
Ba1 0.0000 0.0000 0.0000
Tl1 0.1004 0.3584 0.0000
Ag1 0.0981 0.2018 0.5000
```

Computed properties:
* E_form: -1.5 kJ per mole of atoms

=====

No. 2
This record from Alexandria via LeMat-Bulk describes an optimized crystal structure of TmZr2Fe. The functional is PBE.

Geometry as CIF:
```
data_TmZr2Fe
_chemical_formula_sum 'Tm3 Zr6 Fe3'
_cell_length_a 3.2653
_cell_length_b 3.2653
_cell_length_c 29.6214
_cell_angle_alpha 90.00
_cell_angle_beta 90.00
_cell_angle_gamma 120.00
_space_group_name_H-M_alt 'R -3 m'
_space_group_IT_number 166
_space_group_name_Hall '-R 3 2"'
loop_
_atom_site_label
_atom_site_fract_x
_atom_site_fract_y
_atom_site_fract_z
Tm1 0.0000 0.0000 0.0000
Zr1 0.0000 0.0000 0.1078
Fe1 0.0000 0.0000 0.5000
```

Computed properties:
* E_form: 30.0 kJ per mole of atoms
* E above lowest polymorph: 8.87 kcal/mol of atoms

=====

No. 3
This record from Alexandria via LeMat-Bulk describes an optimized crystal structure of Tb2TaGeN5. The functional is PBE.

Geometry as CIF:
```
data_Tb2TaGeN5
_chemical_formula_sum 'Tb8 Ta4 Ge4 N20'
_cell_length_a 3.1864
_cell_length_b 13.7184
_cell_length_c 10.1837
_cell_angle_alpha 90.00
_cell_angle_beta 90.00
_cell_angle_gamma 90.00
_space_group_name_H-M_alt 'C m c 21'
_space_group_IT_number 36
_space_group_name_Hall 'C 2c -2'
loop_
_atom_site_label
_atom_site_fract_x
_atom_site_fract_y
_atom_site_fract_z
Tb1 0.0000 0.1175 0.0000
Tb2 0.0000 0.1303 0.5700
Ta1 0.0000 0.2244 0.2932
Ge1 0.0000 0.4914 0.7618
N1 0.0000 0.0581 0.3356
N2 0.0000 0.2860 0.9305
N3 0.0000 0.2975 0.6579
N4 0.0000 0.3697 0.2968
N5 0.0000 0.5001 0.0793
```

Computed properties:
* uncorrected formation energy: -1.10 eV per atom

=====

No. 4
This record from Alexandria via LeMat-Bulk describes an optimized crystal structure of RbYH. The functional is PBE.

Geometry as CIF:
```
data_RbYH
_chemical_formula_sum 'Rb2 Y2 H2'
_cell_length_a 3.6763
_cell_length_b 3.6763
_cell_length_c 14.2747
_cell_angle_alpha 90.00
_cell_angle_beta 90.00
_cell_angle_gamma 120.00
_space_group_name_H-M_alt 'P -6 m 2'
_space_group_IT_number 187
_space_group_name_Hall 'P -6 2'
loop_
_atom_site_label
_atom_site_fract_x
_atom_site_fract_y
_atom_site_fract_z
Rb1 0.0000 0.0000 0.1315
Y1 0.6667 0.3333 0.3913
H1 0.0000 0.0000 0.5000
H2 0.6667 0.3333 0.0000
```

Computed properties:
* raw total energy: -3.42 eV per atom

=====

No. 5
This record from Alexandria via LeMat-Bulk describes an optimized crystal structure of LaAuSe. The functional is PBE.

Geometry as CIF:
```
data_LaAuSe
_chemical_formula_sum 'La2 Au2 Se2'
_cell_length_a 3.9980
_cell_length_b 3.9980
_cell_length_c 9.4230
_cell_angle_alpha 90.00
_cell_angle_beta 90.00
_cell_angle_gamma 90.00
_space_group_name_H-M_alt 'I 4 m m'
_space_group_IT_number 107
_space_group_name_Hall 'I 4 -2'
loop_
_atom_site_label
_atom_site_fract_x
_atom_site_fract_y
_atom_site_fract_z
La1 0.0000 0.0000 0.0000
Au1 0.0000 0.0000 0.6668
Se1 0.0000 0.0000 0.3423
```

Computed properties:
* E above lowest polymorph: 5.08 kcal/mol of atoms
* uncorrected formation energy: -1.18 eV per atom

=====

No. 6
This record from Alexandria via LeMat-Bulk describes an optimized crystal structure of ZrMoP2. The functional is PBE.

Geometry as CIF:
```
data_ZrMoP2
_chemical_formula_sum 'Zr1 Mo1 P2'
_cell_length_a 3.4076
_cell_length_b 3.4076
_cell_length_c 5.5778
_cell_angle_alpha 90.00
_cell_angle_beta 90.00
_cell_angle_gamma 90.00
_space_group_name_H-M_alt 'P 4 m m'
_space_group_IT_number 99
_space_group_name_Hall 'P 4 -2'
loop_
_atom_site_label
_atom_site_fract_x
_atom_site_fract_y
_atom_site_fract_z
Zr1 0.0000 0.0000 0.0000
Mo1 0.5000 0.5000 0.3533
P1 0.0000 0.0000 0.5042
P2 0.5000 0.5000 0.8318
```

Computed properties:
* E_form: -64.8 kJ per mole of atoms
* E above lowest polymorph: 5.93 kcal/mol of atoms

=====

No. 7
This record from Alexandria via LeMat-Bulk describes an optimized crystal structure of LiBi2Se. The functional is PBE.

Geometry as CIF:
```
data_LiBi2Se
_chemical_formula_sum 'Li4 Bi8 Se4'
_cell_length_a 4.5424
_cell_length_b 4.5424
_cell_length_c 22.1525
_cell_angle_alpha 90.00
_cell_angle_beta 90.00
_cell_angle_gamma 90.00
_space_group_name_H-M_alt 'I -4 2 d'
_space_group_IT_number 122
_space_group_name_Hall 'I -4 2bw'
loop_
_atom_site_label
_atom_site_fract_x
_atom_site_fract_y
_atom_site_fract_z
Li1 0.0000 0.0000 0.0000
Bi1 0.2274 0.2500 0.6250
Se1 0.0000 0.0000 0.5000
```

Computed properties:
* uncorrected formation energy: -0.21 eV per atom

=====

No. 8
This record from Alexandria via LeMat-Bulk describes an optimized crystal structure of K2UTlBr6. The functional is PBE.

Geometry as CIF:
```
data_K2UTlBr6
_chemical_formula_sum 'K4 U2 Tl2 Br12'
_cell_length_a 14.1614
_cell_length_b 8.4478
_cell_length_c 8.2548
_cell_angle_alpha 90.00
_cell_angle_beta 123.86
_cell_angle_gamma 90.00
_space_group_name_H-M_alt 'C 1 2/m 1'
_space_group_IT_number 12
_space_group_name_Hall '-C 2y'
loop_
_atom_site_label
_atom_site_fract_x
_atom_site_fract_y
_atom_site_fract_z
K1 0.2492 0.0000 0.2105
U1 0.0000 0.5000 0.0000
Tl1 0.0000 0.0000 0.5000
Br1 0.0789 0.2590 0.8496
Br2 0.2244 0.5000 0.3654
```

Computed properties:
* uncorrected formation energy: -1.38 eV per atom

=====

no.,V (A^3/atom)
1,27.52
2,22.79
3,12.37
4,27.84
5,25.10
6,16.19
7,28.57
8,41.00